# 1
A plane-wave DFT calculation with PBE was carried out for Cs4Tc6S13 after structural relaxation.

Properties
**Energy relative to the elements, uncorrected**: -0.83 eV per atom
**Size of the total moment**: 0.000 μB per atom
**Volume**: 26.3 Å³/atom
**Final energy**: -6.01 eV per atom

Lattice parameters (Å, degrees): 10.052 10.052 13.917 84.59 84.59 118.71
Atoms (fractional coordinates):
S (0.313, 0.995, 0.348)
S (0.359, 0.641, 0.750)
Tc (0.005, 0.689, 0.979)
S (0.990, 0.341, 0.190)
S (0.273, 0.458, 0.994)
Tc (0.149, 0.579, 0.079)
Cs (0.665, 0.921, 0.910)
S (0.199, 0.720, 0.548)
Tc (0.153, 0.564, 0.891)
S (0.047, 0.976, 0.561)
Tc (0.436, 0.847, 0.609)
S (0.356, 0.715, 0.174)
S (0.280, 0.801, 0.952)
Cs (0.685, 0.726, 0.212)
Cs (0.274, 0.315, 0.288)
S (0.285, 0.644, 0.326)
S (0.953, 0.024, 0.439)
S (0.727, 0.542, 0.006)
Tc (0.579, 0.149, 0.579)
Cs (0.079, 0.335, 0.590)
S (0.641, 0.359, 0.250)
Tc (0.564, 0.153, 0.391)
Cs (0.335, 0.079, 0.090)
Cs (0.921, 0.665, 0.410)
S (0.995, 0.313, 0.848)
S (0.801, 0.280, 0.452)
Cs (0.726, 0.685, 0.712)
Tc (0.689, 0.005, 0.479)
S (0.024, 0.953, 0.939)
S (0.458, 0.273, 0.494)
Cs (0.315, 0.274, 0.788)
S (0.341, 0.990, 0.690)
S (0.005, 0.687, 0.152)
Tc (0.311, 0.995, 0.521)
S (0.644, 0.285, 0.826)
S (0.659, 0.010, 0.310)
S (0.687, 0.005, 0.652)
S (0.715, 0.356, 0.674)
S (0.010, 0.659, 0.810)
S (0.976, 0.047, 0.061)
Tc (0.847, 0.436, 0.109)
Tc (0.421, 0.851, 0.421)
Tc (0.851, 0.421, 0.921)
S (0.542, 0.727, 0.506)
S (0.720, 0.199, 0.048)
Tc (0.995, 0.311, 0.021)

=====

# 2
A plane-wave DFT calculation with PBE was carried out for CsTiSeO5 after structural relaxation.

Properties
**Energy relative to the elements, uncorrected**: -1.55 eV per atom
**Size of the total moment**: 0.000 μB per atom
**Volume**: 15.8 Å³/atom
**Final energy**: -6.17 eV per atom

Lattice parameters (Å, degrees): 6.247 6.247 7.415 104.76 104.76 105.30
Atoms (fractional coordinates):
Se (0.701, 0.299, 0.250)
Ti (0.000, 0.000, 0.500)
O (0.268, 0.894, 0.609)
O (0.732, 0.106, 0.391)
O (0.199, 0.397, 0.605)
O (0.106, 0.732, 0.891)
Se (0.299, 0.701, 0.750)
O (0.044, 0.956, 0.250)
Cs (0.661, 0.339, 0.750)
O (0.397, 0.199, 0.105)
O (0.801, 0.603, 0.395)
Ti (0.000, 0.000, 0.000)
O (0.603, 0.801, 0.895)
O (0.956, 0.044, 0.750)
Cs (0.339, 0.661, 0.250)
O (0.894, 0.268, 0.109)

=====

Please write out number 2 again, unchanged.
A plane-wave DFT calculation with PBE was carried out for CsTiSeO5 after structural relaxation.

Properties
**Energy relative to the elements, uncorrected**: -1.55 eV per atom
**Size of the total moment**: 0.000 μB per atom
**Volume**: 15.8 Å³/atom
**Final energy**: -6.17 eV per atom

Lattice parameters (Å, degrees): 6.247 6.247 7.415 104.76 104.76 105.30
Atoms (fractional coordinates):
Se (0.701, 0.299, 0.250)
Ti (0.000, 0.000, 0.500)
O (0.268, 0.894, 0.609)
O (0.732, 0.106, 0.391)
O (0.199, 0.397, 0.605)
O (0.106, 0.732, 0.891)
Se (0.299, 0.701, 0.750)
O (0.044, 0.956, 0.250)
Cs (0.661, 0.339, 0.750)
O (0.397, 0.199, 0.105)
O (0.801, 0.603, 0.395)
Ti (0.000, 0.000, 0.000)
O (0.603, 0.801, 0.895)
O (0.956, 0.044, 0.750)
Cs (0.339, 0.661, 0.250)
O (0.894, 0.268, 0.109)

=====

What is the formula in the second record? CsTiSeO5